--- one ---
# RbReTe2

A relaxed RbReTe2 crystal (PBE-GGA, Alexandria via LeMat-Bulk).

Cell lengths 8.1920, 8.1920, 8.6961 Å; angles 90.00, 90.00, 90.00 degrees
With the nearest neighbours (Å) after each atom.
Space group I-42d (No. 122)
Inequivalent atoms, fractional coordinates:
Rb (0.0000, 0.0000, 0.0000) (multiplicity 4)  8 Te 3.76-4.02
Re (0.0000, 0.0000, 0.5000) (multiplicity 4)  4 Te 2.58
Te (0.1392, 0.2500, 0.6250) (multiplicity 8)  2 Re 2.58

--- two ---
# RbReTe2

A relaxed RbReTe2 crystal (PBE-GGA, Alexandria via LeMat-Bulk).

Cell lengths 7.2503, 7.2503, 7.2503 Å; angles 90.00, 90.00, 90.00 degrees
With the nearest neighbours (Å) after each atom.
Space group Fm-3m (No. 225)
Inequivalent atoms, fractional coordinates:
Rb (0.0000, 0.0000, 0.0000) (multiplicity 4)  8 Te 3.14
Re (0.0000, 0.0000, 0.5000) (multiplicity 4)  8 Te 3.14
Te (0.2500, 0.2500, 0.2500) (multiplicity 8)  4 Re 3.14, 4 Rb 3.14

Top of the stability list: one, leading by 64.3 kJ/mol of atoms.